{
  "formula": "Co2CuNiO",
  "functional": "PBE+U",
  "state": "relaxed",
  "cell": [[4.632, 0.000, 0.000], [0.000, 4.632, 0.000], [0.000, 0.000, 3.497]],
  "species": ["Co", "Co", "Cu", "Ni", "O"],
  "frac_coords": [[0.000, 0.500, 0.000], [0.500, 0.000, 0.000], [0.000, 0.000, 0.000], [0.500, 0.500, 0.500], [0.000, 0.000, 0.500]],
  "total_energy_ev_per_atom": -3.5461
}